[1]
Entry from the Alexandria database: an optimized crystal structure of ErTl2Hg (GGA-PBE).

Output
Final energy: -10.02 eV per cell
Calculated formation energy: -41.0 kJ/mol of formula units
N(E_F): 3.3 states/eV per cell
Size of the total moment: 0.00 μB/cell

Cell and atoms, written as POSCAR:
```
ErTl2Hg
1.0
5.347 0.000 0.000
2.673 4.630 0.000
2.673 1.543 4.335
Tl Er Hg
2 1 1
Direct
0.250 0.250 0.249
0.000 0.000 0.001
0.750 0.750 0.751
0.500 0.500 0.499
```

***

[2]
Entry from the Alexandria database: an optimized crystal structure of GeSb3O (GGA-PBE).

Output
Final energy: -16.33 eV per cell
Uncorrected formation energy: 108.3 kJ per mole of atoms
N(E_F): 7.9 states/eV per cell
Size of the total moment: 0.00 μB/cell

Cell and atoms, written as POSCAR:
```
GeSb3O
1.0
-1.053 5.183 0.216
-2.303 -0.269 -4.758
-4.648 -1.041 2.309
O Ge Sb
1 1 3
Direct
0.500 0.500 0.500
0.000 0.000 0.000
0.500 0.000 0.000
0.000 0.500 0.000
0.000 0.000 0.500
```

***

[3]
Entry from the Alexandria database: an optimized crystal structure of YCdRu (GGA-PBE).

Output
Final energy: -16.41 eV per cell
Calculated formation energy: 23.6 kJ/mol of formula units
N(E_F): 3.2 states/eV per cell
Size of the total moment: 0.00 μB/cell

Cell and atoms, written as POSCAR:
```
YCdRu
1.0
4.656 0.000 0.000
2.328 4.032 0.000
2.328 1.344 3.801
Y Cd Ru
1 1 1
Direct
0.000 0.000 0.000
0.500 0.500 0.500
0.750 0.750 0.750
```

***

[4]
Entry from the Alexandria database: an optimized crystal structure of Hf4MoPb (GGA-PBE).

Output
Final energy: -108.17 eV per cell
Calculated formation energy: 26.0 kJ/mol of formula units
N(E_F): 12.0 states/eV per cell
Size of the total moment: 0.00 μB/cell

Cell and atoms, written as POSCAR:
```
Hf4MoPb
1.0
5.598 -0.535 0.000
-2.111 7.972 0.000
-1.744 -3.719 6.198
Hf Mo Pb
8 2 2
Direct
0.727 0.370 0.176
0.363 0.929 0.636
0.949 0.806 0.176
0.273 0.630 0.824
0.773 0.707 0.636
0.637 0.071 0.364
0.227 0.293 0.364
0.051 0.194 0.824
0.250 0.000 0.000
0.750 0.000 0.000
0.634 0.384 0.769
0.366 0.616 0.231
```

***

[5]
Entry from the Alexandria database: an optimized crystal structure of MnP2WCl (GGA-PBE).

Output
Final energy: -31.91 eV per cell
Uncorrected formation energy: 55.5 kJ per mole of atoms
N(E_F): 3.0 states/eV per cell
Size of the total moment: 5.33 μB/cell

Cell and atoms, written as POSCAR:
```
MnP2WCl
1.0
4.697 0.000 0.000
0.000 4.697 0.000
0.000 0.000 4.912
P Mn W Cl
2 1 1 1
Direct
0.500 0.000 0.000
0.000 0.500 0.000
0.500 0.500 0.500
0.000 0.000 0.000
0.000 0.000 0.500
```

***

[6]
Entry from the Alexandria database: an optimized crystal structure of YHRhAu2 (GGA-PBE).

Output
Final energy: -21.12 eV per cell
N(E_F): 2.4 states/eV per cell
Size of the total moment: 0.00 μB/cell

Cell and atoms, written as POSCAR:
```
YHRhAu2
1.0
5.296 0.000 0.000
0.000 3.661 0.000
0.000 0.000 5.296
Au Rh Y H
2 1 1 1
Direct
0.500 0.000 0.000
0.000 0.000 0.500
0.500 0.500 0.500
0.000 0.000 0.000
0.000 0.500 0.000
```

***

[7]
Entry from the Alexandria database: an optimized crystal structure of InCu2PbS4 (GGA-PBE).

Output
Final energy: -33.98 eV per cell
Uncorrected formation energy: -34.2 kJ per mole of atoms
N(E_F): 4.8 states/eV per cell
Size of the total moment: 0.00 μB/cell

Cell and atoms, written as POSCAR:
```
InCu2PbS4
1.0
5.831 0.241 0.000
-0.243 5.831 0.000
-2.794 -3.036 5.472
S Cu In Pb
4 2 1 1
Direct
0.880 0.418 0.298
0.582 0.582 0.702
0.418 0.880 0.298
0.119 0.119 0.702
0.250 0.750 0.500
0.750 0.250 0.500
0.500 0.500 0.000
0.000 0.000 0.000
```

***

[8]
Entry from the Alexandria database: an optimized crystal structure of CaYSe (GGA-PBE).

Output
Final energy: -14.92 eV per cell
Uncorrected formation energy: -95.5 kJ per mole of atoms
N(E_F): 3.1 states/eV per cell
Size of the total moment: 0.00 μB/cell

Cell and atoms, written as POSCAR:
```
CaYSe
1.0
7.216 0.035 -0.028
6.022 3.517 0.066
1.194 -0.668 3.419
Se Ca Y
1 1 1
Direct
0.329 0.329 0.671
0.977 0.977 0.023
0.694 0.694 0.306
```

***

N(E_F) of number 6 (YHRhAu2)?
2.4 states/eV per cell